Record 1
A relaxed HoPu2I6 crystal. Source: Alexandria, functional PBE-GGA.

Cell lengths 4.2289, 8.9887, 10.8687 Å; angles 111.41, 90.00, 103.61 degrees
Each line ends with the local moment (μB).
Element x y z (fractional)
Ho: 0.0000 0.0000 0.5000  0.26
Pu: 0.6743 0.3487 0.8466  5.74
Pu: 0.3257 0.6514 0.1534  5.74
I: 0.3108 0.6217 0.8556  -0.05
I: 0.6892 0.3784 0.1444  -0.05
I: 0.9717 0.9433 0.2055  -0.03
I: 0.6333 0.2666 0.5303  -0.01
I: 0.0283 0.0567 0.7945  -0.03
I: 0.3667 0.7334 0.4697  -0.01

The uncorrected formation energy comes out at -1.106 eV per atom.

Record 2
A relaxed Ho2PuI crystal. Source: Alexandria, functional PBE-GGA.

Cell lengths 3.5643, 3.5643, 11.6836 Å; angles 81.23, 81.23, 60.00 degrees
Each line ends with the local moment (μB).
Element x y z (fractional)
I: 0.5000 0.5000 0.5000  0.00
Ho: 0.0944 0.0944 0.7168  0.14
Ho: 0.9056 0.9056 0.2832  0.14
Pu: 0.0000 0.0000 0.0000  5.84

The calculation puts the excess energy over the best structure of this formula in the dataset at 0.2577 eV per atom. The uncorrected formation energy comes out at 0.080 eV per atom.

Record 3
A relaxed RbHoI3 crystal. Source: Alexandria, functional PBE-GGA.

Cell lengths 6.0387, 6.0387, 6.0387 Å; angles 90.00, 90.00, 90.00 degrees
Element x y z (fractional)
I: 0.0000 0.5000 0.0000
I: 0.0000 0.0000 0.5000
I: 0.5000 0.0000 0.0000
Ho: 0.0000 0.0000 0.0000
Rb: 0.5000 0.5000 0.5000

The uncorrected formation energy comes out at -1.175 eV per atom.

Record 4
A relaxed Rb2HoI6 crystal. Source: Alexandria, functional PBE-GGA.

Cell lengths 4.0629, 9.6649, 11.0908 Å; angles 115.83, 90.00, 90.00 degrees
Element x y z (fractional)
Rb: 0.0000 0.3469 0.6890
Rb: 0.0000 0.6579 0.3110
Ho: 0.5000 0.9643 0.0000
I: 0.5000 0.6183 0.0000
I: 0.5000 0.4306 0.4412
I: 0.5000 0.9894 0.5588
I: 0.0000 0.2131 0.0000
I: 0.0000 0.7807 0.7818
I: 0.0000 0.9988 0.2182

The uncorrected formation energy comes out at -1.149 eV per atom.

Record 5
A relaxed Rb4HoI7 crystal. Source: Alexandria, functional PBE-GGA.

Cell lengths 6.0533, 9.7714, 13.7323 Å; angles 61.02, 77.27, 71.96 degrees
Element x y z (fractional)
Rb: 0.5128 0.6797 0.2946
Rb: 0.4872 0.3203 0.7054
Rb: 0.7551 0.8204 0.6695
Rb: 0.2449 0.1796 0.3305
Ho: 0.0000 0.0000 0.0000
I: 0.8839 0.3620 0.8701
I: 0.1161 0.6380 0.1299
I: 0.1170 0.9863 0.7796
I: 0.8830 0.0137 0.2204
I: 0.3548 0.7504 0.5400
I: 0.5000 0.0000 0.0000
I: 0.6452 0.2496 0.4600

The uncorrected formation energy comes out at -1.439 eV per atom.

Record 6
A relaxed Rb2HoI5 crystal. Source: Alexandria, functional PBE-GGA.

Cell lengths 9.0476, 9.0477, 8.3014 Å; angles 123.03, 123.03, 89.98 degrees
Element x y z (fractional)
Rb: 0.2487 0.7487 0.4974
Rb: 0.7487 0.2487 0.4974
Ho: 0.9742 0.9742 0.9484
I: 0.7946 0.2540 0.0485
I: 0.2539 0.2539 0.0485
I: 0.7947 0.7947 0.0486
I: 0.2539 0.7946 0.0485
I: 0.7083 0.7083 0.4167

The calculation puts the excess energy over the best structure of this formula in the dataset at 0.0449 eV per atom. The uncorrected formation energy comes out at -1.391 eV per atom.

Record 7
A relaxed Rb2HoI5 crystal. Source: Alexandria, functional PBE-GGA.

Cell lengths 9.5742, 9.8951, 14.8113 Å; angles 90.00, 90.00, 90.00 degrees
Element x y z (fractional)
Rb: 0.4094 0.5109 0.8308
Rb: 0.5906 0.4891 0.1692
Rb: 0.9094 0.4891 0.6692
Rb: 0.5906 0.0109 0.1692
Rb: 0.0906 0.5109 0.3308
Rb: 0.4094 0.9891 0.8308
Rb: 0.0906 0.9891 0.3308
Rb: 0.9094 0.0109 0.6692
Ho: 0.4251 0.2500 0.5058
Ho: 0.5749 0.7500 0.4942
Ho: 0.9251 0.7500 0.9942
Ho: 0.0749 0.2500 0.0058
I: 0.0947 0.2500 0.5139
I: 0.9053 0.7500 0.4861
I: 0.5947 0.7500 0.9861
I: 0.4053 0.2500 0.0139
I: 0.3319 0.9511 0.5569
I: 0.6681 0.0489 0.4431
I: 0.8319 0.0489 0.9431
I: 0.6681 0.4511 0.4431
I: 0.1681 0.9511 0.0569
I: 0.3319 0.5489 0.5569
I: 0.1681 0.5489 0.0569
I: 0.8319 0.4511 0.9431
I: 0.1352 0.2500 0.8038
I: 0.8648 0.7500 0.1962
I: 0.6352 0.7500 0.6962
I: 0.3648 0.2500 0.3038
I: 0.5840 0.2500 0.6859
I: 0.4160 0.7500 0.3141
I: 0.0840 0.7500 0.8141
I: 0.9160 0.2500 0.1859

The calculation puts the excess energy over the best structure of this formula in the dataset at 0.0000 eV per atom. The uncorrected formation energy comes out at -1.436 eV per atom.

Record 8
A relaxed Rb3HoI6 crystal. Source: Alexandria, functional PBE-GGA.

Cell lengths 8.6900, 9.2953, 12.4461 Å; angles 90.00, 88.91, 90.00 degrees
Element x y z (fractional)
Rb: 0.5345 0.9154 0.7547
Rb: 0.5000 0.5000 0.0000
Rb: 0.4655 0.0846 0.2453
Rb: 0.0345 0.5846 0.2547
Rb: 0.0000 0.0000 0.5000
Rb: 0.9655 0.4154 0.7453
Ho: 0.5000 0.5000 0.5000
Ho: 0.0000 0.0000 0.0000
I: 0.7177 0.1739 0.9428
I: 0.6599 0.2256 0.5728
I: 0.6310 0.4520 0.2752
I: 0.3690 0.5480 0.7248
I: 0.3401 0.7744 0.4272
I: 0.2823 0.8261 0.0572
I: 0.2177 0.3261 0.4428
I: 0.1599 0.2744 0.0728
I: 0.1310 0.0480 0.7752
I: 0.8690 0.9520 0.2248
I: 0.8401 0.7256 0.9272
I: 0.7823 0.6739 0.5572

The uncorrected formation energy comes out at -1.468 eV per atom.

no.,V (Å³/atom),DOS(E_F) (states/eV/f.u.),M_tot (μB/cell)
1,41.35,22.65,12.80
2,31.63,11.94,6.74
3,44.04,3.61,0.01
4,43.56,9.25,0.00
5,56.10,0.00,0.00
6,54.13,0.00,0.00
7,43.85,0.00,0.00
8,50.26,0.00,0.00